Version one
Here is crystalline Cs2IF at its relaxed geometry from the Alexandria database. Energies are from PBE.

Lattice parameters (Å, degrees): 4.168 4.168 8.692 90.00 90.00 90.00
Sites, in units of the cell vectors:
F 0.500 0.500 0.000
Cs 0.000 0.000 0.788
Cs 0.000 0.000 0.212
I 0.500 0.500 0.500

- density of states at the Fermi level (states/eV/atom) = 0.000
- total moment (μB per atom) = 0.00

Version two
Here is crystalline Cs2IF at its relaxed geometry from the Alexandria database. Energies are from PBE.

Lattice parameters (Å, degrees): 4.742 4.742 8.945 74.63 74.63 60.00
Sites, in units of the cell vectors:
I 0.500 0.500 0.501
Cs 0.269 0.269 0.192
Cs 0.064 0.064 0.809
F 0.667 0.667 0.998

- density of states at the Fermi level (states/eV/atom) = 0.000
- total moment (μB per atom) = 0.00

Least stable = version one

Version one
Here is crystalline Cs2IF at its relaxed geometry from the Alexandria database. Energies are from PBE.

Lattice parameters (Å, degrees): 8.708 8.708 7.863 56.37 56.37 90.00
Sites, in units of the cell vectors:
F 0.250 0.750 0.500
F 0.500 0.500 0.000
Cs 0.375 0.466 0.750
Cs 0.534 0.125 0.250
Cs 0.216 0.625 0.250
Cs 0.875 0.784 0.750
I 0.000 0.000 0.000
I 0.750 0.250 0.500

- density of states at the Fermi level (states/eV/atom) = 0.000
- total moment (μB per atom) = 0.00

Version two
Here is crystalline Cs2IF at its relaxed geometry from the Alexandria database. Energies are from PBE.

Lattice parameters (Å, degrees): 4.800 4.800 8.808 89.98 105.80 120.05
Sites, in units of the cell vectors:
Cs 0.539 0.270 0.809
Cs 0.461 0.730 0.191
F 0.000 0.000 0.000
I 0.000 0.500 0.500

- density of states at the Fermi level (states/eV/atom) = 0.000
- total moment (μB per atom) = 0.00

Version three
Here is crystalline Cs2IF at its relaxed geometry from the Alexandria database. Energies are from PBE.

Lattice parameters (Å, degrees): 5.635 5.635 11.152 90.01 90.01 90.00
Sites, in units of the cell vectors:
Cs 0.750 0.250 0.500
Cs 0.250 0.750 0.500
Cs 0.750 0.750 0.837
Cs 0.250 0.250 0.163
I 0.750 0.750 0.196
I 0.250 0.250 0.804
F 0.250 0.250 0.414
F 0.750 0.750 0.586

- density of states at the Fermi level (states/eV/atom) = 0.000
- total moment (μB per atom) = 0.00

Least stable = version two

Version one
Here is crystalline CsI3F at its relaxed geometry from the Alexandria database. Energies are from PBE.

Lattice parameters (Å, degrees): 9.644 9.644 8.079 53.35 53.35 90.00
Each line ends with the local moment (μB).
Sites, in units of the cell vectors:
I 0.750 0.750 0.500  0.10
I 0.250 0.750 0.000  0.22
I 0.750 0.250 0.000  0.22
I 0.750 0.750 0.000  0.18
I 0.250 0.250 0.500  0.10
I 0.250 0.250 0.000  0.18
F 0.000 0.000 0.000  0.00
F 0.500 0.500 0.000  0.00
Cs 0.250 0.750 0.500  0.00
Cs 0.750 0.250 0.500  0.00

- density of states at the Fermi level (states/eV/atom) = 1.126
- total moment (μB per atom) = 0.15

Version two
Here is crystalline CsI3F at its relaxed geometry from the Alexandria database. Energies are from PBE.

Lattice parameters (Å, degrees): 5.621 5.621 5.621 90.00 90.00 90.00
Sites, in units of the cell vectors:
Cs 0.500 0.500 0.500
F 0.000 0.000 0.000
I 0.000 0.000 0.500
I 0.500 0.000 0.000
I 0.000 0.500 0.000

- density of states at the Fermi level (states/eV/atom) = 1.073
- total moment (μB per atom) = 0.00

Least stable = version two